Record 1
Below is CuSnS4 after structural relaxation, with properties calculated at the PBE level.

Lattice parameters (Å, degrees): 4.7985 7.3540 7.3541 90.00 90.09 90.00
Element x y z (fractional)
Cu 0.0000 0.2499 0.2500
Cu 0.0000 0.7501 0.7500
Sn 0.5000 0.2501 0.7500
Sn 0.5000 0.7499 0.2500
S 0.1885 0.0490 0.0491
S 0.1885 0.4511 0.4511
S 0.1885 0.5489 0.9511
S 0.1885 0.9510 0.5491
S 0.8115 0.0490 0.4509
S 0.8115 0.4511 0.0489
S 0.8115 0.5489 0.5489
S 0.8115 0.9510 0.9509

As for the total energy: -4.190 eV/atom. As for the space group: P2/c. The uncorrected formation energy comes out at -0.088 eV per atom. For the magnetization, the calculation gives 0.00 μB per formula unit.

---

Record 2
Below is Cu2Sn2S after structural relaxation, with properties calculated at the PBE level.

Lattice parameters (Å, degrees): 6.7701 6.7701 4.1714 90.00 90.00 90.00
Element x y z (fractional)
Cu 0.1300 0.3700 0.0000
Cu 0.3700 0.8700 0.0000
Cu 0.6300 0.1300 0.0000
Cu 0.8700 0.6300 0.0000
Sn 0.1666 0.6666 0.5000
Sn 0.3334 0.1666 0.5000
Sn 0.6666 0.8334 0.5000
Sn 0.8334 0.3334 0.5000
S 0.0000 0.0000 0.0000
S 0.5000 0.5000 0.0000

As for the total energy: -3.948 eV/atom. As for the space group: P4/mbm. The uncorrected formation energy comes out at 0.118 eV per atom. For the magnetization, the calculation gives 0.00 μB per formula unit.

---

Record 3
Below is CuSnS3 after structural relaxation, with properties calculated at the PBE level.

Lattice parameters (Å, degrees): 4.5893 4.5893 4.5893 90.00 90.00 90.00
Element x y z (fractional)
Cu 0.0000 0.0000 0.0000
Sn 0.5000 0.5000 0.5000
S 0.0000 0.0000 0.5000
S 0.0000 0.5000 0.0000
S 0.5000 0.0000 0.0000

As for the total energy: -3.884 eV/atom. The energy above the most stable polymorph in this dataset is 0.4010 eV per atom. As for the space group: Pm-3m. The uncorrected formation energy comes out at 0.212 eV per atom. For the magnetization, the calculation gives 0.00 μB per formula unit.

---

Record 4
Below is Cu4Sn7S16 after structural relaxation, with properties calculated at the PBE level.

Lattice parameters (Å, degrees): 12.9889 12.9889 12.9889 33.31 33.31 33.31
Element x y z (fractional)
Cu 0.0000 0.0000 0.0000
Cu 0.1075 0.1075 0.1075
Cu 0.2945 0.2945 0.2945
Cu 0.5882 0.5882 0.5882
Sn 0.0451 0.0451 0.5486
Sn 0.0451 0.5486 0.0451
Sn 0.0506 0.5412 0.5412
Sn 0.5412 0.0506 0.5412
Sn 0.5412 0.5412 0.0506
Sn 0.5486 0.0451 0.0451
Sn 0.7981 0.7981 0.7981
S 0.1634 0.6756 0.6756
S 0.1712 0.1712 0.1712
S 0.1774 0.1774 0.6556
S 0.1774 0.6556 0.1774
S 0.4120 0.4120 0.9362
S 0.4120 0.9362 0.4120
S 0.4188 0.4188 0.4188
S 0.4299 0.9157 0.9157
S 0.6556 0.1774 0.1774
S 0.6726 0.6726 0.6726
S 0.6756 0.1634 0.6756
S 0.6756 0.6756 0.1634
S 0.9157 0.4299 0.9157
S 0.9157 0.9157 0.4299
S 0.9204 0.9204 0.9204
S 0.9362 0.4120 0.4120

As for the total energy: -4.437 eV/atom. As for the space group: R3m. The uncorrected formation energy comes out at -0.346 eV per atom. For the magnetization, the calculation gives 0.00 μB per formula unit.

---

Record 5
Below is CuSn3S4 after structural relaxation, with properties calculated at the PBE level.

Lattice parameters (Å, degrees): 11.3445 5.7119 5.7553 90.00 90.00 90.00
Element x y z (fractional)
Cu 0.0000 0.1097 0.0000
Cu 0.5000 0.8903 0.5000
Sn 0.0000 0.7519 0.3673
Sn 0.2505 0.2528 0.3667
Sn 0.2495 0.7472 0.8667
Sn 0.5000 0.2481 0.8673
Sn 0.7495 0.2528 0.3667
Sn 0.7505 0.7472 0.8667
S 0.0000 0.2737 0.3460
S 0.0000 0.7618 0.8355
S 0.2503 0.2444 0.8555
S 0.2497 0.7556 0.3555
S 0.5000 0.2382 0.3355
S 0.5000 0.7263 0.8460
S 0.7497 0.2444 0.8555
S 0.7503 0.7556 0.3555

As for the total energy: -4.380 eV/atom. As for the space group: Pmn2_1. The uncorrected formation energy comes out at -0.303 eV per atom. For the magnetization, the calculation gives 0.00 μB per formula unit.

---

Record 6
Below is CuSn2S after structural relaxation, with properties calculated at the PBE level.

Lattice parameters (Å, degrees): 9.3137 9.3137 9.3137 21.49 21.49 21.49
Element x y z (fractional)
Cu 0.0000 0.0000 0.0000
Sn 0.0955 0.0955 0.0955
Sn 0.9045 0.9045 0.9045
S 0.5000 0.5000 0.5000

As for the total energy: -3.800 eV/atom. As for the space group: R-3m. The uncorrected formation energy comes out at 0.257 eV per atom. For the magnetization, the calculation gives 0.00 μB per formula unit.

---

Record 7
Below is CuSn3S6 after structural relaxation, with properties calculated at the PBE level.

Lattice parameters (Å, degrees): 7.6603 7.6603 7.6603 91.97 91.97 91.97
Element x y z (fractional)
Cu 0.0000 0.0000 0.0000
Cu 0.5000 0.5000 0.5000
Sn 0.0733 0.5752 0.7468
Sn 0.2532 0.9267 0.4248
Sn 0.4248 0.2532 0.9267
Sn 0.5752 0.7468 0.0733
Sn 0.7468 0.0733 0.5752
Sn 0.9267 0.4248 0.2532
S 0.0434 0.9045 0.6979
S 0.0955 0.3021 0.9566
S 0.2007 0.5677 0.4191
S 0.3021 0.9566 0.0955
S 0.4191 0.2007 0.5677
S 0.4323 0.5809 0.7993
S 0.5677 0.4191 0.2007
S 0.5809 0.7993 0.4323
S 0.6979 0.0434 0.9045
S 0.7993 0.4323 0.5809
S 0.9045 0.6979 0.0434
S 0.9566 0.0955 0.3021

As for the total energy: -4.306 eV/atom. As for the space group: R-3. The uncorrected formation energy comes out at -0.219 eV per atom. For the magnetization, the calculation gives 0.00 μB per formula unit.

---

Record 8
Below is Cu4Sn2S5 after structural relaxation, with properties calculated at the PBE level.

Lattice parameters (Å, degrees): 16.6544 16.6544 16.6544 13.29 13.29 13.29
Element x y z (fractional)
Cu 0.0898 0.0898 0.0898
Cu 0.1854 0.1854 0.1854
Cu 0.8146 0.8146 0.8146
Cu 0.9102 0.9102 0.9102
Sn 0.3701 0.3701 0.3701
Sn 0.6299 0.6299 0.6299
S 0.0000 0.0000 0.0000
S 0.1357 0.1357 0.1357
S 0.2596 0.2596 0.2596
S 0.7404 0.7404 0.7404
S 0.8643 0.8643 0.8643

As for the total energy: -4.331 eV/atom. As for the space group: R-3m. The uncorrected formation energy comes out at -0.238 eV per atom. For the magnetization, the calculation gives 0.00 μB per formula unit.

---

Record 9
Below is CuSn3S after structural relaxation, with properties calculated at the PBE level.

Lattice parameters (Å, degrees): 5.0523 5.0523 5.0523 90.00 90.00 90.00
Element x y z (fractional)
Cu 0.0000 0.0000 0.0000
Sn 0.0000 0.0000 0.5000
Sn 0.0000 0.5000 0.0000
Sn 0.5000 0.0000 0.0000
S 0.5000 0.5000 0.5000

As for the total energy: -3.773 eV/atom. The energy above the most stable polymorph in this dataset is 0.0000 eV per atom. As for the space group: Pm-3m. The uncorrected formation energy comes out at 0.274 eV per atom. For the magnetization, the calculation gives 0.00 μB per formula unit.

---

Record 10
Below is Cu2SnS4 after structural relaxation, with properties calculated at the PBE level.

Lattice parameters (Å, degrees): 6.9340 6.9340 6.9340 137.61 137.61 61.50
Element x y z (fractional)
Cu 0.0988 0.0988 0.0000
Cu 0.9012 0.9012 0.0000
Sn 0.5000 0.5000 0.0000
S 0.0000 0.5000 0.5000
S 0.2781 0.2781 0.0000
S 0.5000 0.0000 0.5000
S 0.7219 0.7219 0.0000

As for the total energy: -3.754 eV/atom. As for the space group: I4/mmm. The uncorrected formation energy comes out at 0.347 eV per atom. For the magnetization, the calculation gives 2.09 μB per formula unit.

---

Record 11
Below is Cu2SnS2 after structural relaxation, with properties calculated at the PBE level.

Lattice parameters (Å, degrees): 4.2197 3.9251 6.3621 90.00 109.18 90.00
Element x y z (fractional)
Cu 0.0000 0.0000 0.0000
Cu 0.3660 0.5000 0.8933
Sn 0.6853 0.5000 0.4952
S 0.1526 0.0000 0.6863
S 0.8961 0.5000 0.1415

As for the total energy: -4.302 eV/atom. As for the space group: Pm. The uncorrected formation energy comes out at -0.212 eV per atom. For the magnetization, the calculation gives 0.00 μB per formula unit.

---

Record 12
Below is Cu2SnS after structural relaxation, with properties calculated at the PBE level.

Lattice parameters (Å, degrees): 6.2200 6.2200 6.2200 121.90 121.90 86.74
Element x y z (fractional)
Cu 0.0671 0.6250 0.9421
Cu 0.3750 0.3171 0.4421
Cu 0.6829 0.1250 0.0579
Cu 0.8750 0.9329 0.5579
Sn 0.2500 0.7500 0.5000
Sn 0.5000 0.5000 0.0000
S 0.0000 0.0000 0.0000
S 0.7500 0.2500 0.5000

As for the total energy: -4.069 eV/atom. As for the space group: I-42d. The uncorrected formation energy comes out at 0.012 eV per atom. For the magnetization, the calculation gives 0.00 μB per formula unit.